[1]
{"formula": "Pu2Fe5Ge4", "functional": "PBE-GGA", "state": "relaxed", "cell": [[5.415, 0.000, 0.000], [2.707, 4.599, 0.000], [2.707, 0.000, 7.137]], "species": ["Pu", "Pu", "Fe", "Fe", "Fe", "Fe", "Fe", "Ge", "Ge", "Ge", "Ge"], "frac_coords": [[0.874, 0.000, 0.252], [0.126, 0.000, 0.748], [0.500, 0.000, 0.000], [0.000, 0.500, 0.000], [0.500, 0.500, 0.000], [0.250, 0.500, 0.500], [0.750, 0.500, 0.500], [0.483, 0.304, 0.731], [0.517, 0.696, 0.269], [0.213, 0.304, 0.269], [0.787, 0.696, 0.731]]}

***

[2]
{"formula": "Pu3Fe2Ge2", "functional": "PBE-GGA", "state": "relaxed", "cell": [[-1.380, -3.792, 1.535], [-0.765, -1.214, -3.686], [8.768, -0.538, 0.479]], "species": ["Pu", "Pu", "Pu", "Fe", "Fe", "Ge", "Ge"], "frac_coords": [[0.000, 0.000, 0.000], [0.679, 0.179, 0.359], [0.321, 0.821, 0.641], [0.570, 0.570, 0.141], [0.430, 0.430, 0.859], [0.137, 0.637, 0.275], [0.863, 0.363, 0.725]]}

***

[3]
{"formula": "Pu2FeReGe6", "functional": "PBE-GGA", "state": "relaxed", "cell": [[-3.491, 0.937, -4.850], [-6.007, -0.550, 0.445], [-4.042, 12.079, 1.471]], "species": ["Pu", "Pu", "Pu", "Pu", "Fe", "Fe", "Re", "Re", "Ge", "Ge", "Ge", "Ge", "Ge", "Ge", "Ge", "Ge", "Ge", "Ge", "Ge", "Ge"], "frac_coords": [[0.875, 0.875, 0.376], [0.125, 0.125, 0.624], [0.723, 0.723, 0.832], [0.277, 0.277, 0.168], [0.000, 0.000, 0.000], [0.500, 0.500, 0.500], [0.576, 0.576, 0.271], [0.424, 0.424, 0.729], [0.921, 0.342, 0.395], [0.342, 0.921, 0.395], [0.342, 0.342, 0.395], [0.079, 0.658, 0.605], [0.658, 0.079, 0.605], [0.658, 0.658, 0.605], [0.751, 0.197, 0.856], [0.197, 0.751, 0.856], [0.197, 0.197, 0.856], [0.249, 0.803, 0.144], [0.803, 0.249, 0.144], [0.803, 0.803, 0.144]]}

***

| no. | calculated total energy (eV/atom) |
| --- | --- |
| 1 | -8.31 |
| 2 | -10.07 |
| 3 | -7.87 |